[1]
ScZnAsO | PBE | relaxed

abc: 4.1630 5.7832 5.6731
angles: 90.00 90.00 90.00
Last column: nearest neighbours and their distance in Å.
Sites, in units of the cell vectors:
1 Sc 0.0000 0.7477 0.4096  2 O 2.10
2 Sc 0.0000 0.2523 0.9096  2 O 2.10
3 Zn 0.5000 0.1330 0.5457  2 O 2.07-2.09
4 Zn 0.5000 0.8670 0.0457  2 O 2.07-2.09
5 O 0.5000 0.7995 0.4041  2 Zn 2.07-2.09, 2 Sc 2.10
6 O 0.5000 0.2005 0.9041  2 Zn 2.07-2.09, 2 Sc 2.10
7 As 0.0000 0.2749 0.3946  2 Zn 2.40
8 As 0.0000 0.7251 0.8946  2 Zn 2.40

* total DFT energy (no corrections): -23.2 eV per formula unit
* total magnetization: 0.00 μB per cell
* SG: Pmc2_1

[2]
ScZnAsO | PBE | relaxed

abc: 3.6857 5.9498 6.2027
angles: 90.00 90.00 90.00
Last column: nearest neighbours and their distance in Å.
Sites, in units of the cell vectors:
1 Sc 0.5000 0.5219 0.6017  2 O 2.05-2.10
2 Sc 0.5000 0.4781 0.1017  2 O 2.05-2.10
3 As 0.0000 0.7331 0.3398  2 Zn 2.41-2.57
4 As 0.0000 0.2669 0.8398  2 Zn 2.41-2.57
5 Zn 0.0000 0.8772 0.9484  2 O 2.11
6 Zn 0.0000 0.1228 0.4484  2 O 2.11
7 O 0.5000 0.2694 0.3641  2 Sc 2.05-2.10, 2 Zn 2.11
8 O 0.5000 0.7306 0.8641  2 Sc 2.05-2.10, 2 Zn 2.11

* total DFT energy (no corrections): -23.2 eV per formula unit
* total magnetization: 0.00 μB per cell
* SG: Pmc2_1

[3]
SmSiAsO | PBE | relaxed

abc: 3.8095 6.1517 6.9690
angles: 90.00 90.00 90.00
Last column: nearest neighbours and their distance in Å.
Sites, in units of the cell vectors:
1 Sm 0.0000 0.2472 0.9759  2 O 2.29
2 Sm 0.0000 0.7528 0.4759  2 O 2.29
3 Si 0.5000 0.1214 0.5830  1 O 1.68
4 Si 0.5000 0.8786 0.0830  1 O 1.68
5 As 0.0000 0.2650 0.4021  2 Si 2.45
6 As 0.0000 0.7350 0.9021  2 Si 2.45
7 O 0.5000 0.2570 0.7929  1 Si 1.68
8 O 0.5000 0.7430 0.2929  1 Si 1.68

* total DFT energy (no corrections): -25.6 eV per formula unit
* relative energy among the computed polymorphs: 0 meV/atom
* total magnetization: 0.00 μB per cell
* SG: Pmc2_1

[4]
SmSiAsO | PBE | relaxed

abc: 4.1219 4.1219 8.9127
angles: 90.00 90.00 90.00
Last column: nearest neighbours and their distance in Å.
Sites, in units of the cell vectors:
1 As 0.7500 0.7500 0.3255  4 Si 2.58
2 As 0.2500 0.2500 0.6745  4 Si 2.58
3 Sm 0.7500 0.7500 0.8783  4 O 2.33
4 Sm 0.2500 0.2500 0.1217  4 O 2.33
5 O 0.2500 0.7500 0.0000  4 Sm 2.33
6 O 0.7500 0.2500 0.0000  4 Sm 2.33
7 Si 0.2500 0.7500 0.5000  4 As 2.58
8 Si 0.7500 0.2500 0.5000  4 As 2.58

* total DFT energy (no corrections): -25.3 eV per formula unit
* relative energy among the computed polymorphs: 87 meV/atom
* total magnetization: 0.00 μB per cell
* SG: P4/nmm

[5]
SmSiAsO | PBE | relaxed

abc: 5.9007 5.9007 4.7152
angles: 90.00 90.00 90.00
Last column: nearest neighbours and their distance in Å.
Sites, in units of the cell vectors:
1 As 0.2500 0.2500 0.4984  2 Si 2.36
2 As 0.7500 0.7500 0.5016  2 Si 2.36
3 O 0.7500 0.2500 0.0000  2 Sm 2.36
4 O 0.2500 0.7500 0.0000  2 Sm 2.36
5 Si 0.7500 0.7500 0.0016  2 As 2.36
6 Si 0.2500 0.2500 0.9984  2 As 2.36
7 Sm 0.2500 0.7500 0.5000  2 O 2.36
8 Sm 0.7500 0.2500 0.5000  2 O 2.36

* total DFT energy (no corrections): -23.1 eV per formula unit
* relative energy among the computed polymorphs: 615 meV/atom
* total magnetization: 0.00 μB per cell
* SG: P4/nmm

[6]
SmSiAsO | PBE | relaxed

abc: 4.0252 5.4175 6.6035
angles: 90.00 90.00 90.00
Last column: nearest neighbours and their distance in Å.
Sites, in units of the cell vectors:
1 As 0.0000 0.8965 0.2790  2 Si 2.47-2.67
2 As 0.0000 0.1035 0.7790  2 Si 2.47-2.67
3 Si 0.0000 0.6624 0.9584  2 O 2.03
4 Si 0.0000 0.3376 0.4584  2 O 2.03
5 Sm 0.5000 0.2402 0.0897  2 O 2.34-2.35
6 Sm 0.5000 0.7598 0.5897  2 O 2.34-2.35
7 O 0.5000 0.3743 0.4268  2 Si 2.03
8 O 0.5000 0.6257 0.9268  2 Si 2.03

* total DFT energy (no corrections): -24.9 eV per formula unit
* relative energy among the computed polymorphs: 186 meV/atom
* total magnetization: 0.01 μB per cell
* SG: Pmc2_1

[7]
SiTcAsO | PBE | relaxed

abc: 2.9847 5.7712 6.8040
angles: 90.00 90.00 90.00
Last column: nearest neighbours and their distance in Å.
Sites, in units of the cell vectors:
1 O 0.5000 0.2449 0.7896  1 Si 1.67
2 O 0.5000 0.7551 0.2896  1 Si 1.67
3 Si 0.5000 0.9201 0.0886  1 O 1.67
4 Si 0.5000 0.0799 0.5886  1 O 1.67
5 Tc 0.0000 0.7713 0.5086  2 O 2.11
6 Tc 0.0000 0.2287 0.0086  2 O 2.11
7 As 0.0000 0.3175 0.3673  2 Tc 2.49-2.79, 2 Si 2.52
8 As 0.0000 0.6825 0.8673  2 Tc 2.49-2.79, 2 Si 2.52

* total DFT energy (no corrections): -27.4 eV per formula unit
* relative energy among the computed polymorphs: 0 meV/atom
* total magnetization: 0.00 μB per cell
* SG: Pmc2_1

[8]
SiTcAsO | PBE | relaxed

abc: 3.5923 3.5923 9.5891
angles: 90.00 90.00 90.00
Last column: nearest neighbours and their distance in Å.
Sites, in units of the cell vectors:
1 As 0.5000 0.0000 0.6908  4 Tc 2.56
2 As 0.0000 0.5000 0.3092  4 Tc 2.56
3 O 0.5000 0.5000 0.0000  4 Si 2.02
4 O 0.0000 0.0000 0.0000  4 Si 2.02
5 Tc 0.0000 0.0000 0.5000  4 Tc 2.54, 4 As 2.56
6 Tc 0.5000 0.5000 0.5000  4 Tc 2.54, 4 As 2.56
7 Si 0.0000 0.5000 0.9032  4 O 2.02
8 Si 0.5000 0.0000 0.0968  4 O 2.02

* total DFT energy (no corrections): -27.2 eV per formula unit
* relative energy among the computed polymorphs: 63 meV/atom
* total magnetization: 0.01 μB per cell
* SG: P4/nmm

[9]
SiTcAsO | PBE | relaxed

abc: 3.5504 5.8080 5.5232
angles: 90.00 90.00 90.00
Last column: nearest neighbours and their distance in Å.
Sites, in units of the cell vectors:
1 O 0.5000 0.2718 0.8911  2 Si 1.78
2 O 0.5000 0.7282 0.3911  2 Si 1.78
3 Tc 0.5000 0.9388 0.0783  2 O 2.12-2.19
4 Tc 0.5000 0.0612 0.5783  2 O 2.12-2.19
5 Si 0.0000 0.7251 0.4184  2 O 1.78
6 Si 0.0000 0.2749 0.9184  2 O 1.78
7 As 0.0000 0.7102 0.8661  2 Si 2.47-2.54, 2 Tc 2.51
8 As 0.0000 0.2898 0.3661  2 Si 2.47-2.54, 2 Tc 2.51

* total DFT energy (no corrections): -26.9 eV per formula unit
* relative energy among the computed polymorphs: 143 meV/atom
* total magnetization: 0.00 μB per cell
* SG: Pmc2_1

[10]
SiTcAsO | PBE | relaxed

abc: 3.3359 3.3359 10.2103
angles: 90.00 90.00 90.00
Last column: nearest neighbours and their distance in Å.
Sites, in units of the cell vectors:
1 As 0.2500 0.2500 0.7409  4 Tc 2.72, 4 Si 2.97
2 As 0.7500 0.7500 0.2591  4 Tc 2.72, 4 Si 2.97
3 Tc 0.2500 0.2500 0.1262  4 O 2.11
4 Tc 0.7500 0.7500 0.8738  4 O 2.11
5 O 0.2500 0.7500 0.0000  4 Tc 2.11, 4 O 2.36
6 O 0.7500 0.2500 0.0000  4 Tc 2.11, 4 O 2.36
7 Si 0.7500 0.2500 0.5000  4 Si 2.36
8 Si 0.2500 0.7500 0.5000  4 Si 2.36

* total DFT energy (no corrections): -25.6 eV per formula unit
* relative energy among the computed polymorphs: 456 meV/atom
* total magnetization: 0.02 μB per cell
* SG: P4/nmm

[11]
ZrSiAsO | PBE | relaxed

abc: 3.6917 5.6745 6.2984
angles: 90.00 90.00 90.00
Last column: nearest neighbours and their distance in Å.
Sites, in units of the cell vectors:
1 Si 0.0000 0.8110 0.9093  2 O 1.88
2 Si 0.0000 0.1890 0.4093  2 O 1.88
3 Zr 0.5000 0.4149 0.1059  2 O 2.22-2.24
4 Zr 0.5000 0.5851 0.6059  2 O 2.22-2.24
5 As 0.0000 0.2528 0.8147  2 Si 2.58, 2 Zr 2.76
6 As 0.0000 0.7472 0.3147  2 Si 2.58, 2 Zr 2.76
7 O 0.5000 0.2459 0.4241  2 Si 1.88
8 O 0.5000 0.7541 0.9241  2 Si 1.88

* total DFT energy (no corrections): -27.5 eV per formula unit
* relative energy among the computed polymorphs: 257 meV/atom
* total magnetization: 0.01 μB per cell
* SG: Pmc2_1

[12]
ZrSiAsO | PBE | relaxed

abc: 3.5708 5.7319 6.8327
angles: 90.00 90.00 90.00
Last column: nearest neighbours and their distance in Å.
Sites, in units of the cell vectors:
1 O 0.5000 0.2639 0.8050  1 Si 1.69
2 O 0.5000 0.7361 0.3050  1 Si 1.69
3 As 0.0000 0.2933 0.3807  2 Si 2.44
4 As 0.0000 0.7067 0.8807  2 Si 2.44
5 Si 0.5000 0.1334 0.5839  1 O 1.69
6 Si 0.5000 0.8666 0.0839  1 O 1.69
7 Zr 0.0000 0.2145 0.9844  2 O 2.18
8 Zr 0.0000 0.7855 0.4844  2 O 2.18

* total DFT energy (no corrections): -28.1 eV per formula unit
* relative energy among the computed polymorphs: 101 meV/atom
* total magnetization: 0.75 μB per cell
* SG: Pmc2_1